Ca2InRe (meta-GGA SCAN, single point on PBEsol structure); DOS at the Fermi energy = 2.44 states/eV/f.u.; calculated total energy = -30.605 eV per atom; formation energy = 0.347 eV/atom; density = 7313 kg/m³
1.0
4.164 0.000 0.000
0.000 4.237 0.000
0.000 0.000 9.810
Ca In Re
4 2 2
Direct
0.000 0.000 0.234
0.000 0.000 0.766
0.500 0.500 0.234
0.500 0.500 0.766
0.000 0.500 0.500
0.500 0.000 0.500
0.000 0.500 0.000
0.500 0.000 0.000